[1]
Below is a relaxed Pd2Pb2Se crystal, with properties calculated at the GGA-PBE level.

E above lowest polymorph = 0.0000 eV per atom

Lattice parameters (Å, degrees): 7.367 7.367 4.041 90.00 90.00 90.00
Space group P4/mbm (No. 127)
Inequivalent atoms, fractional coordinates:
1 Pd 0.136 0.364 0.000 x4
2 Pb 0.165 0.665 0.500 x4
3 Se 0.000 0.000 0.000 x2

[2]
Below is a relaxed PmSm4Tl2 crystal, with properties calculated at the GGA-PBE level.

Formation enthalpy at 0 K = 0.36 eV/f.u.
E above lowest polymorph = 0.1730 eV per atom

Lattice parameters (Å, degrees): 5.5663 5.5663 27.0849 90.00 90.00 120.00
Space group R-3m (No. 166, hexagonal axes)
Inequivalent atoms, fractional coordinates:
1 Pm 0.0000 0.0000 0.0000 x3
2 Sm 0.0000 0.0000 0.2340 x6
3 Sm 0.0000 0.0000 0.3696 x6
4 Tl 0.0000 0.0000 0.1170 x6

[3]
Below is a relaxed LaYTm2S4 crystal, with properties calculated at the GGA-PBE level.

Calculated total energy = -6.562 eV/atom

Lattice parameters (Å, degrees): 5.586 5.586 11.162 90.00 90.00 90.00
Space group I4/mmm (No. 139)
Inequivalent atoms, fractional coordinates:
1 La 0.000 0.000 0.000 x2
2 Y 0.000 0.000 0.500 x2
3 Tm 0.000 0.500 0.250 x4
4 S 0.000 0.000 0.256 x4
5 S 0.000 0.500 0.000 x4

[4]
Below is a relaxed ScAs2PBr crystal, with properties calculated at the GGA-PBE level.

E above lowest polymorph = 0.2088 eV per atom

Lattice parameters (Å, degrees): 5.271 5.271 5.002 90.00 90.00 90.00
Space group P4/mmm (No. 123)
Inequivalent atoms, fractional coordinates:
1 Sc 0.000 0.000 0.000 x1
2 As 0.000 0.500 0.000 x2
3 P 0.500 0.500 0.500 x1
4 Br 0.000 0.000 0.500 x1